No. 1
The following is a DFT calculation (PBE) of a relaxed structure of K2NaHfFe.

Calculated values
DOS at the Fermi energy: 1.008 states/eV per atom
Volume: 32.952 Å³ per atom
Calculated formation energy: 2013.2 meV/atom

```
data_K2NaHfFe
_chemical_formula_sum 'K2 Na1 Hf1 Fe1'
_cell_length_a 5.207
_cell_length_b 5.207
_cell_length_c 6.077
_cell_angle_alpha 90.00
_cell_angle_beta 90.00
_cell_angle_gamma 90.00
_space_group_name_H-M_alt 'P 4/m m m'
_space_group_IT_number 123
_space_group_name_Hall '-P 4 2'
loop_
_atom_site_label
_atom_site_fract_x
_atom_site_fract_y
_atom_site_fract_z
_atom_site_occupancy
K1 0.000 0.500 0.000 1
Na1 0.000 0.000 0.000 1
Hf1 0.000 0.000 0.500 1
Fe1 0.500 0.500 0.500 1
```

No. 2
The following is a DFT calculation (PBE) of a relaxed structure of KHfFe2Pb.

Calculated values
DOS at the Fermi energy: 1.384 states/eV per atom
Volume: 28.079 Å³ per atom
Calculated formation energy: 1026.4 meV/atom

```
data_KHfFe2Pb
_chemical_formula_sum 'K1 Hf1 Fe2 Pb1'
_cell_length_a 4.947
_cell_length_b 4.947
_cell_length_c 5.737
_cell_angle_alpha 90.00
_cell_angle_beta 90.00
_cell_angle_gamma 90.00
_space_group_name_H-M_alt 'P 4/m m m'
_space_group_IT_number 123
_space_group_name_Hall '-P 4 2'
loop_
_atom_site_label
_atom_site_fract_x
_atom_site_fract_y
_atom_site_fract_z
_atom_site_occupancy
K1 0.000 0.000 0.000 1
Hf1 0.500 0.500 0.500 1
Fe1 0.000 0.500 0.500 1
Pb1 0.500 0.500 0.000 1
```

No. 3
The following is a DFT calculation (PBE) of a relaxed structure of KHfFeRe2.

Calculated values
DOS at the Fermi energy: 3.376 states/eV per atom
Volume: 24.982 Å³ per atom
Calculated formation energy: 2840.8 meV/atom

```
data_KHfFeRe2
_chemical_formula_sum 'K1 Hf1 Fe1 Re2'
_cell_length_a 4.825
_cell_length_b 4.825
_cell_length_c 5.366
_cell_angle_alpha 90.00
_cell_angle_beta 90.00
_cell_angle_gamma 90.00
_space_group_name_H-M_alt 'P 4/m m m'
_space_group_IT_number 123
_space_group_name_Hall '-P 4 2'
loop_
_atom_site_label
_atom_site_fract_x
_atom_site_fract_y
_atom_site_fract_z
_atom_site_occupancy
K1 0.000 0.000 0.000 1
Hf1 0.000 0.000 0.500 1
Fe1 0.500 0.500 0.000 1
Re1 0.000 0.500 0.500 1
```

No. 4
The following is a DFT calculation (PBE) of a relaxed structure of KHfZn2Fe.

Calculated values
DOS at the Fermi energy: 0.940 states/eV per atom
Volume: 26.615 Å³ per atom
Calculated formation energy: 2121.3 meV/atom

```
data_KHfZn2Fe
_chemical_formula_sum 'K1 Hf1 Zn2 Fe1'
_cell_length_a 4.972
_cell_length_b 4.972
_cell_length_c 5.383
_cell_angle_alpha 90.00
_cell_angle_beta 90.00
_cell_angle_gamma 90.00
_space_group_name_H-M_alt 'P 4/m m m'
_space_group_IT_number 123
_space_group_name_Hall '-P 4 2'
loop_
_atom_site_label
_atom_site_fract_x
_atom_site_fract_y
_atom_site_fract_z
_atom_site_occupancy
K1 0.000 0.000 0.000 1
Hf1 0.000 0.000 0.500 1
Zn1 0.000 0.500 0.000 1
Fe1 0.500 0.500 0.500 1
```

No. 5
The following is a DFT calculation (PBE) of a relaxed structure of KHfZrFe2.

Calculated values
DOS at the Fermi energy: 1.050 states/eV per atom
Volume: 21.901 Å³ per atom
Calculated formation energy: 1665.4 meV/atom

```
data_KHfZrFe2
_chemical_formula_sum 'K1 Hf1 Zr1 Fe2'
_cell_length_a 4.664
_cell_length_b 4.664
_cell_length_c 5.034
_cell_angle_alpha 90.00
_cell_angle_beta 90.00
_cell_angle_gamma 90.00
_space_group_name_H-M_alt 'P 4/m m m'
_space_group_IT_number 123
_space_group_name_Hall '-P 4 2'
loop_
_atom_site_label
_atom_site_fract_x
_atom_site_fract_y
_atom_site_fract_z
_atom_site_occupancy
K1 0.000 0.000 0.000 1
Hf1 0.500 0.500 0.000 1
Zr1 0.000 0.000 0.500 1
Fe1 0.000 0.500 0.500 1
```

No. 6
The following is a DFT calculation (PBE) of a relaxed structure of LaHf2Fe.

Calculated values
DOS at the Fermi energy: 1.815 states/eV per atom
Volume: 29.488 Å³ per atom
Calculated formation energy: 996.2 meV/atom

```
data_LaHf2Fe
_chemical_formula_sum 'La4 Hf8 Fe4'
_cell_length_a 5.436
_cell_length_b 5.436
_cell_length_c 15.967
_cell_angle_alpha 90.00
_cell_angle_beta 90.00
_cell_angle_gamma 90.00
_space_group_name_H-M_alt 'I 41/a m d'
_space_group_IT_number 141
loop_
_space_group_symop_operation_xyz
'x,y,z'
'-x,-y,-z'
'-y+1/4,x+3/4,z+1/4'
'y+1/4,-x+3/4,-z+1/4'
'-x+1/2,-y,z+1/2'
'x+1/2,y,-z+1/2'
'y+1/4,-x+1/4,z+3/4'
'-y+1/4,x+1/4,-z+3/4'
'x,-y,-z'
'-x,y,z'
'-y+1/4,-x+1/4,-z+3/4'
'y+1/4,x+1/4,z+3/4'
'-x+1/2,y,-z+1/2'
'x+1/2,-y,z+1/2'
'y+1/4,x+3/4,-z+1/4'
'-y+1/4,-x+3/4,z+1/4'
'x+1/2,y+1/2,z+1/2'
'-x+1/2,-y+1/2,-z+1/2'
'-y+3/4,x+1/4,z+3/4'
'y+3/4,-x+1/4,-z+3/4'
'-x,-y+1/2,z'
'x,y+1/2,-z'
'y+3/4,-x+3/4,z+1/4'
'-y+3/4,x+3/4,-z+1/4'
'x+1/2,-y+1/2,-z+1/2'
'-x+1/2,y+1/2,z+1/2'
'-y+3/4,-x+3/4,-z+1/4'
'y+3/4,x+3/4,z+1/4'
'-x,y+1/2,-z'
'x,-y+1/2,z'
'y+3/4,x+1/4,-z+3/4'
'-y+3/4,-x+1/4,z+3/4'
loop_
_atom_site_label
_atom_site_fract_x
_atom_site_fract_y
_atom_site_fract_z
_atom_site_occupancy
La1 0.000 0.250 0.375 1
Hf1 0.000 0.000 0.000 1
Fe1 0.000 0.250 0.875 1
```

No. 7
The following is a DFT calculation (PBE) of a relaxed structure of LaHfFe3.

Calculated values
DOS at the Fermi energy: 1.661 states/eV per atom
Volume: 21.624 Å³ per atom
Calculated formation energy: 814.9 meV/atom

```
data_LaHfFe3
_chemical_formula_sum 'La1 Hf1 Fe3'
_cell_length_a 4.764
_cell_length_b 4.764
_cell_length_c 4.764
_cell_angle_alpha 90.00
_cell_angle_beta 90.00
_cell_angle_gamma 90.00
_space_group_name_H-M_alt 'P m -3 m'
_space_group_IT_number 221
_space_group_name_Hall '-P 4 2 3'
loop_
_atom_site_label
_atom_site_fract_x
_atom_site_fract_y
_atom_site_fract_z
_atom_site_occupancy
La1 0.000 0.000 0.000 1
Hf1 0.500 0.500 0.500 1
Fe1 0.000 0.500 0.500 1
```

No. 8
The following is a DFT calculation (PBE) of a relaxed structure of LaHf3Fe.

Calculated values
DOS at the Fermi energy: 1.461 states/eV per atom
Volume: 23.832 Å³ per atom
Calculated formation energy: 123.3 meV/atom

```
data_LaHf3Fe
_chemical_formula_sum 'La1 Hf3 Fe1'
_cell_length_a 4.921
_cell_length_b 4.921
_cell_length_c 4.921
_cell_angle_alpha 90.00
_cell_angle_beta 90.00
_cell_angle_gamma 90.00
_space_group_name_H-M_alt 'P m -3 m'
_space_group_IT_number 221
_space_group_name_Hall '-P 4 2 3'
loop_
_atom_site_label
_atom_site_fract_x
_atom_site_fract_y
_atom_site_fract_z
_atom_site_occupancy
La1 0.000 0.000 0.000 1
Hf1 0.000 0.500 0.500 1
Fe1 0.500 0.500 0.500 1
```

No. 9
The following is a DFT calculation (PBE) of a relaxed structure of La2HfFe2.

Calculated values
DOS at the Fermi energy: 1.289 states/eV per atom
Volume: 22.375 Å³ per atom
Calculated formation energy: 198.1 meV/atom

```
data_La2HfFe2
_chemical_formula_sum 'La4 Hf2 Fe4'
_cell_length_a 6.906
_cell_length_b 6.906
_cell_length_c 4.692
_cell_angle_alpha 90.00
_cell_angle_beta 90.00
_cell_angle_gamma 90.00
_space_group_name_H-M_alt 'P 4/m b m'
_space_group_IT_number 127
_space_group_name_Hall '-P 4 2ab'
loop_
_atom_site_label
_atom_site_fract_x
_atom_site_fract_y
_atom_site_fract_z
_atom_site_occupancy
La1 0.180 0.320 0.000 1
Hf1 0.000 0.000 0.500 1
Fe1 0.116 0.616 0.500 1
```

No. 10
The following is a DFT calculation (PBE) of a relaxed structure of LaHfFe3.

Calculated values
DOS at the Fermi energy: 0.587 states/eV per atom
Volume: 17.882 Å³ per atom
Calculated formation energy: 1408.8 meV/atom

```
data_LaHfFe3
_chemical_formula_sum 'La1 Hf1 Fe3'
_cell_length_a 4.472
_cell_length_b 4.472
_cell_length_c 4.472
_cell_angle_alpha 90.00
_cell_angle_beta 90.00
_cell_angle_gamma 90.00
_space_group_name_H-M_alt 'P m -3 m'
_space_group_IT_number 221
_space_group_name_Hall '-P 4 2 3'
loop_
_atom_site_label
_atom_site_fract_x
_atom_site_fract_y
_atom_site_fract_z
_atom_site_occupancy
La1 0.000 0.000 0.000 1
Hf1 0.500 0.500 0.500 1
Fe1 0.000 0.000 0.500 1
```

No. 11
The following is a DFT calculation (PBE) of a relaxed structure of La2Hf2Fe.

Calculated values
DOS at the Fermi energy: 1.101 states/eV per atom
Volume: 25.139 Å³ per atom
Calculated formation energy: 201.6 meV/atom

```
data_La2Hf2Fe
_chemical_formula_sum 'La4 Hf4 Fe2'
_cell_length_a 6.658
_cell_length_b 6.658
_cell_length_c 5.671
_cell_angle_alpha 90.00
_cell_angle_beta 90.00
_cell_angle_gamma 90.00
_space_group_name_H-M_alt 'P 4/m b m'
_space_group_IT_number 127
_space_group_name_Hall '-P 4 2ab'
loop_
_atom_site_label
_atom_site_fract_x
_atom_site_fract_y
_atom_site_fract_z
_atom_site_occupancy
La1 0.169 0.331 0.000 1
Hf1 0.163 0.663 0.500 1
Fe1 0.000 0.000 0.500 1
```

No. 12
The following is a DFT calculation (PBE) of a relaxed structure of LaHf2Fe.

Calculated values
DOS at the Fermi energy: 1.468 states/eV per atom
Volume: 19.886 Å³ per atom
Calculated formation energy: 416.9 meV/atom

```
data_LaHf2Fe
_chemical_formula_sum 'La4 Hf8 Fe4'
_cell_length_a 6.827
_cell_length_b 6.827
_cell_length_c 6.827
_cell_angle_alpha 90.00
_cell_angle_beta 90.00
_cell_angle_gamma 90.00
_space_group_name_H-M_alt 'F m -3 m'
_space_group_IT_number 225
_space_group_name_Hall '-F 4 2 3'
loop_
_atom_site_label
_atom_site_fract_x
_atom_site_fract_y
_atom_site_fract_z
_atom_site_occupancy
La1 0.000 0.000 0.000 1
Hf1 0.250 0.250 0.250 1
Fe1 0.000 0.000 0.500 1
```

| no. | calculated total energy (eV/atom) |
| --- | --- |
| 1 | -2.3728 |
| 2 | -5.3105 |
| 3 | -6.0411 |
| 4 | -2.2910 |
| 5 | -5.6395 |
| 6 | -7.3280 |
| 7 | -7.2389 |
| 8 | -8.5268 |
| 9 | -7.1486 |
| 10 | -6.6450 |
| 11 | -7.4433 |
| 12 | -7.9074 |